## P
Pm2PaHg: relaxed, GGA-PBE.

DOS(E_F) ... 1.67 states/eV/atom
SG ... P4/mmm, No. 123

Lattice parameters (Å, degrees): 5.6449 5.6449 3.4620 90.00 90.00 90.00
With the nearest neighbours (Å) after each atom.
Fractional positions:
Pm  0.0000  0.5000  0.0000  4 Hg 3.31, 4 Pa 3.31, 2 Pm 3.46
Pm  0.5000  0.0000  0.0000  4 Hg 3.31, 4 Pa 3.31, 2 Pm 3.46
Pa  0.0000  0.0000  0.5000  8 Pm 3.31, 2 Pa 3.46
Hg  0.5000  0.5000  0.5000  8 Pm 3.31, 2 Hg 3.46

***

## Q
Pm2PaHg: relaxed, GGA-PBE.

DOS(E_F) ... 1.49 states/eV/atom
SG ... R-3m, No. 166

Lattice parameters (Å, degrees): 12.0043 12.0043 12.0043 15.94 15.94 15.94
With the nearest neighbours (Å) after each atom.
Fractional positions:
Pm  0.0912  0.0912  0.0912  1 Pa 3.24, 3 Hg 3.30, 6 Pm 3.33
Pm  0.9088  0.9088  0.9088  1 Pa 3.24, 3 Hg 3.30, 6 Pm 3.33
Pa  0.0000  0.0000  0.0000  2 Pm 3.24, 6 Pa 3.33
Hg  0.5000  0.5000  0.5000  6 Pm 3.30, 6 Hg 3.33

***

Most stable = P

***

## P
Pr2PaHg: relaxed, GGA-PBE.

DOS(E_F) ... 1.81 states/eV/atom
SG ... P4/mmm, No. 123

Lattice parameters (Å, degrees): 5.7265 5.7265 3.4817 90.00 90.00 90.00
With the nearest neighbours (Å) after each atom.
Fractional positions:
Pr  0.0000  0.5000  0.0000  4 Hg 3.35, 4 Pa 3.35, 2 Pr 3.48
Pr  0.5000  0.0000  0.0000  4 Hg 3.35, 4 Pa 3.35, 2 Pr 3.48
Pa  0.0000  0.0000  0.5000  8 Pr 3.35, 2 Pa 3.48
Hg  0.5000  0.5000  0.5000  8 Pr 3.35, 2 Hg 3.48

***

## Q
Pr2PaHg: relaxed, GGA-PBE.

DOS(E_F) ... 1.44 states/eV/atom
SG ... R-3m, No. 166

Lattice parameters (Å, degrees): 12.1267 12.1267 12.1267 15.91 15.91 15.91
With the nearest neighbours (Å) after each atom.
Fractional positions:
Pr  0.0906  0.0906  0.0906  1 Pa 3.25, 3 Hg 3.35, 6 Pr 3.36
Pr  0.9094  0.9094  0.9094  1 Pa 3.25, 3 Hg 3.35, 6 Pr 3.36
Pa  0.0000  0.0000  0.0000  2 Pr 3.25, 6 Pa 3.36
Hg  0.5000  0.5000  0.5000  6 Pr 3.35, 6 Hg 3.36

***

Most stable = P

***

## P
Pa2HgPt: relaxed, GGA-PBE.

DOS(E_F) ... 1.67 states/eV/atom
SG ... P4/mmm, No. 123

Lattice parameters (Å, degrees): 3.7224 3.7224 6.8280 90.00 90.00 90.00
With the nearest neighbours (Å) after each atom.
Fractional positions:
Pa  0.0000  0.0000  0.2063  1 Pa 2.82, 4 Pt 2.99
Pa  0.0000  0.0000  0.7937  1 Pa 2.82, 4 Pt 2.99
Hg  0.5000  0.5000  0.5000  8 Pa 3.31, 2 Pt 3.41
Pt  0.5000  0.5000  0.0000  8 Pa 2.99

***

## Q
Pa2HgPt: relaxed, GGA-PBE.

DOS(E_F) ... 1.66 states/eV/atom
SG ... R-3m, No. 166

Lattice parameters (Å, degrees): 11.0753 11.0753 11.0753 16.29 16.29 16.29
With the nearest neighbours (Å) after each atom.
Fractional positions:
Pa  0.0824  0.0824  0.0824  1 Pt 2.70
Pa  0.9176  0.9176  0.9176  1 Pt 2.70
Hg  0.5000  0.5000  0.5000  6 Hg 3.14, 6 Pa 3.30
Pt  0.0000  0.0000  0.0000  2 Pa 2.70

***

Most stable = P

***

## P
PuPaHg2: relaxed, GGA-PBE.

DOS(E_F) ... 2.13 states/eV/atom
SG ... P4/mmm, No. 123

Lattice parameters (Å, degrees): 3.1748 3.1748 9.6455 90.00 90.00 90.00
With the nearest neighbours (Å) after each atom.
Fractional positions:
Pu  0.0000  0.0000  0.0000  4 Pu 3.17, 8 Hg 3.30
Pa  0.0000  0.0000  0.5000  4 Pa 3.17, 8 Hg 3.29
Hg  0.5000  0.5000  0.2507  4 Hg 3.17, 4 Pa 3.29, 4 Pu 3.30
Hg  0.5000  0.5000  0.7493  4 Hg 3.17, 4 Pa 3.29, 4 Pu 3.30

***

## Q
PuPaHg2: relaxed, GGA-PBE.

DOS(E_F) ... 2.53 states/eV/atom
SG ... R-3m, No. 166

Lattice parameters (Å, degrees): 11.0957 11.0957 11.0957 16.81 16.81 16.81
With the nearest neighbours (Å) after each atom.
Fractional positions:
Pu  0.0000  0.0000  0.0000  6 Pu 3.24, 6 Hg 3.31
Pa  0.5000  0.5000  0.5000  6 Pa 3.24, 6 Hg 3.31
Hg  0.2500  0.2500  0.2500  6 Hg 3.24, 3 Pa 3.31, 3 Pu 3.31
Hg  0.7500  0.7500  0.7500  6 Hg 3.24, 3 Pa 3.31, 3 Pu 3.31

***

Most stable = P

***

## P
PuPaHg2: relaxed, GGA-PBE.

DOS(E_F) ... 3.07 states/eV/atom
SG ... Fm-3m, No. 225

Lattice parameters (Å, degrees): 5.2874 5.2874 5.2874 60.00 60.00 60.00
With the nearest neighbours (Å) after each atom.
Fractional positions:
Pu  0.0000  0.0000  0.0000  8 Hg 3.24
Pa  0.5000  0.5000  0.5000  8 Hg 3.24
Hg  0.2500  0.2500  0.2500  4 Pa 3.24, 4 Pu 3.24
Hg  0.7500  0.7500  0.7500  4 Pa 3.24, 4 Pu 3.24

***

## Q
PuPaHg2: relaxed, GGA-PBE.

DOS(E_F) ... 2.29 states/eV/atom
SG ... P4/mmm, No. 123

Lattice parameters (Å, degrees): 4.4892 4.4892 4.8249 90.00 90.00 90.00
With the nearest neighbours (Å) after each atom.
Fractional positions:
Pu  0.0000  0.0000  0.0000  4 Pa 3.17, 8 Hg 3.30
Pa  0.5000  0.5000  0.0000  4 Pu 3.17, 8 Hg 3.30
Hg  0.0000  0.5000  0.5000  4 Hg 3.17, 4 Pa 3.30, 4 Pu 3.30
Hg  0.5000  0.0000  0.5000  4 Hg 3.17, 4 Pa 3.30, 4 Pu 3.30

***

Most stable = Q

***

## P
PuPaHg: relaxed, GGA-PBE.

DOS(E_F) ... 1.92 states/eV/atom
SG ... I4mm, No. 107

Lattice parameters (Å, degrees): 5.7826 5.7826 5.7826 141.95 141.95 54.91
With the nearest neighbours (Å) after each atom.
Fractional positions:
Pu  0.0000  0.0000  0.0000  4 Pa 3.01, 5 Hg 3.25-3.27
Pa  0.6355  0.6355  0.0000  4 Pu 3.01, 5 Hg 3.25-3.26
Hg  0.3187  0.3187  0.0000  5 Pu 3.25-3.27, 5 Pa 3.25-3.26

***

## Q
PuPaHg: relaxed, GGA-PBE.

DOS(E_F) ... 2.25 states/eV/atom
SG ... P-6m2, No. 187

Lattice parameters (Å, degrees): 5.1367 5.1367 3.1044 90.00 90.00 120.00
With the nearest neighbours (Å) after each atom.
Fractional positions:
Pu  0.0000  0.0000  0.0000  3 Pa 2.97, 2 Pu 3.10
Pa  0.3333  0.6667  0.0000  3 Pu 2.97, 2 Pa 3.10
Hg  0.6667  0.3333  0.5000  2 Hg 3.10, 6 Pu 3.35, 6 Pa 3.35

***

Most stable = P

***

## P
PuPaTcHg: relaxed, GGA-PBE.

DOS(E_F) ... 2.06 states/eV/atom
SG ... P4mm, No. 99

Lattice parameters (Å, degrees): 3.2551 3.2551 8.5683 90.00 90.00 90.00
With the nearest neighbours (Å) after each atom.
Fractional positions:
Pu  0.0000  0.0000  0.0000  4 Tc 2.98, 4 Pu 3.26
Pa  0.0000  0.0000  0.5804  4 Tc 2.87
Tc  0.5000  0.5000  0.7798  4 Pa 2.87, 4 Pu 2.98
Hg  0.5000  0.5000  0.2862  4 Hg 3.26, 4 Pu 3.36, 4 Pa 3.41

***

## Q
PuPaTcHg: relaxed, GGA-PBE.

DOS(E_F) ... 2.34 states/eV/atom
SG ... F-43m, No. 216

Lattice parameters (Å, degrees): 5.0393 5.0393 5.0393 60.00 60.00 60.00
With the nearest neighbours (Å) after each atom.
Fractional positions:
Pu  0.0000  0.0000  0.0000  4 Hg 3.09, 4 Tc 3.09
Pa  0.5000  0.5000  0.5000  4 Hg 3.09, 4 Tc 3.09
Tc  0.2500  0.2500  0.2500  4 Pa 3.09, 4 Pu 3.09
Hg  0.7500  0.7500  0.7500  4 Pu 3.09, 4 Pa 3.09

***

Most stable = P

***

## P
PaHgRh2: relaxed, GGA-PBE.

DOS(E_F) ... 1.36 states/eV/atom
SG ... P4/mmm, No. 123

Lattice parameters (Å, degrees): 4.5032 4.5032 3.6899 90.00 90.00 90.00
With the nearest neighbours (Å) after each atom.
Fractional positions:
Pa  0.0000  0.0000  0.0000  8 Rh 2.91, 4 Hg 3.18
Hg  0.5000  0.5000  0.0000  8 Rh 2.91, 4 Pa 3.18
Rh  0.0000  0.5000  0.5000  4 Hg 2.91, 4 Pa 2.91, 4 Rh 3.18
Rh  0.5000  0.0000  0.5000  4 Hg 2.91, 4 Pa 2.91, 4 Rh 3.18

***

## Q
PaHgRh2: relaxed, GGA-PBE.

DOS(E_F) ... 1.30 states/eV/atom
SG ... Fm-3m, No. 225

Lattice parameters (Å, degrees): 4.7513 4.7513 4.7513 60.00 60.00 60.00
With the nearest neighbours (Å) after each atom.
Fractional positions:
Pa  0.0000  0.0000  0.0000  8 Rh 2.91
Hg  0.5000  0.5000  0.5000  8 Rh 2.91
Rh  0.2500  0.2500  0.2500  4 Hg 2.91, 4 Pa 2.91
Rh  0.7500  0.7500  0.7500  4 Hg 2.91, 4 Pa 2.91

***

Most stable = Q

***

## P
Pa2HgRu: relaxed, GGA-PBE.

DOS(E_F) ... 1.47 states/eV/atom
SG ... P4/mmm, No. 123

Lattice parameters (Å, degrees): 3.1562 3.1562 8.8096 90.00 90.00 90.00
With the nearest neighbours (Å) after each atom.
Fractional positions:
Pa  0.0000  0.0000  0.2167  4 Ru 2.94, 4 Pa 3.16
Pa  0.0000  0.0000  0.7833  4 Ru 2.94, 4 Pa 3.16
Hg  0.5000  0.5000  0.5000  4 Hg 3.16, 8 Pa 3.35
Ru  0.5000  0.5000  0.0000  8 Pa 2.94, 4 Ru 3.16

***

## Q
Pa2HgRu: relaxed, GGA-PBE.

DOS(E_F) ... 2.56 states/eV/atom
SG ... R-3m, No. 166

Lattice parameters (Å, degrees): 10.3397 10.3397 10.3397 19.78 19.78 19.78
With the nearest neighbours (Å) after each atom.
Fractional positions:
Pa  0.1077  0.1077  0.1077  3 Ru 2.72
Pa  0.8923  0.8923  0.8923  3 Ru 2.72
Hg  0.0000  0.0000  0.0000  2 Pa 3.28, 6 Hg 3.55
Ru  0.5000  0.5000  0.5000  6 Pa 2.72

***

Most stable = P

***

## P
PaHgS2: relaxed, GGA-PBE.

DOS(E_F) ... 1.44 states/eV/atom
SG ... P6_3/mmc, No. 194

Lattice parameters (Å, degrees): 4.0497 4.0497 21.0794 90.00 90.00 120.00
With the nearest neighbours (Å) after each atom.
Fractional positions:
Pa  0.0000  0.0000  0.0000  6 S 2.72
Pa  0.0000  0.0000  0.5000  6 S 2.72
Hg  0.3333  0.6667  0.2500  2 S 3.87, 6 Hg 4.05
Hg  0.6667  0.3333  0.7500  2 S 3.87, 6 Hg 4.05
S  0.3333  0.6667  0.0663  3 Pa 2.72
S  0.3333  0.6667  0.4337  3 Pa 2.72
S  0.6667  0.3333  0.5663  3 Pa 2.72
S  0.6667  0.3333  0.9337  3 Pa 2.72

***

## Q
PaHgS2: relaxed, GGA-PBE.

DOS(E_F) ... 0.71 states/eV/atom
SG ... P4/mmm, No. 123

Lattice parameters (Å, degrees): 3.3906 3.3906 9.1272 90.00 90.00 90.00
With the nearest neighbours (Å) after each atom.
Fractional positions:
Pa  0.0000  0.0000  0.0000  8 S 2.83
Hg  0.0000  0.0000  0.5000  4 Hg 3.39
S  0.5000  0.5000  0.1651  4 Pa 2.83, 1 S 3.01
S  0.5000  0.5000  0.8349  4 Pa 2.83, 1 S 3.01

***

Most stable = P

***

## P
Pa2HgSb: relaxed, GGA-PBE.

DOS(E_F) ... 2.81 states/eV/atom
SG ... Fm-3m, No. 225

Lattice parameters (Å, degrees): 5.2813 5.2813 5.2813 60.00 60.00 60.00
With the nearest neighbours (Å) after each atom.
Fractional positions:
Pa  0.2500  0.2500  0.2500  4 Sb 3.23, 4 Hg 3.23
Pa  0.7500  0.7500  0.7500  4 Hg 3.23, 4 Sb 3.23
Hg  0.0000  0.0000  0.0000  8 Pa 3.23
Sb  0.5000  0.5000  0.5000  8 Pa 3.23

***

## Q
Pa2HgSb: relaxed, GGA-PBE.

DOS(E_F) ... 2.00 states/eV/atom
SG ... P4/mmm, No. 123

Lattice parameters (Å, degrees): 3.5176 3.5176 8.2064 90.00 90.00 90.00
With the nearest neighbours (Å) after each atom.
Fractional positions:
Pa  0.0000  0.0000  0.2385  4 Sb 3.17, 4 Hg 3.28, 4 Pa 3.52
Pa  0.0000  0.0000  0.7615  4 Sb 3.17, 4 Hg 3.28, 4 Pa 3.52
Hg  0.5000  0.5000  0.5000  8 Pa 3.28, 4 Hg 3.52
Sb  0.5000  0.5000  0.0000  8 Pa 3.17, 4 Sb 3.52

***

Most stable = Q

***

## P
Pa2HgSb: relaxed, GGA-PBE.

DOS(E_F) ... 2.17 states/eV/atom
SG ... P4/mmm, No. 123

Lattice parameters (Å, degrees): 4.7683 4.7683 4.4530 90.00 90.00 90.00
With the nearest neighbours (Å) after each atom.
Fractional positions:
Pa  0.0000  0.5000  0.0000  4 Hg 3.26, 4 Sb 3.26, 4 Pa 3.37
Pa  0.5000  0.0000  0.0000  4 Hg 3.26, 4 Sb 3.26, 4 Pa 3.37
Hg  0.0000  0.0000  0.5000  8 Pa 3.26, 4 Sb 3.37
Sb  0.5000  0.5000  0.5000  8 Pa 3.26, 4 Hg 3.37

***

## Q
Pa2HgSb: relaxed, GGA-PBE.

DOS(E_F) ... 1.98 states/eV/atom
SG ... R-3m, No. 166

Lattice parameters (Å, degrees): 7.3893 7.3893 7.3893 34.59 34.59 34.59
With the nearest neighbours (Å) after each atom.
Fractional positions:
Pa  0.2459  0.2459  0.2459  3 Hg 3.03, 3 Sb 3.12
Pa  0.7541  0.7541  0.7541  3 Hg 3.03, 3 Sb 3.12
Hg  0.5000  0.5000  0.5000  6 Pa 3.03
Sb  0.0000  0.0000  0.0000  6 Pa 3.12

***

Most stable = P

***

## P
ScPaHg2: relaxed, GGA-PBE.

DOS(E_F) ... 1.71 states/eV/atom
SG ... P4/mmm, No. 123

Lattice parameters (Å, degrees): 4.6273 4.6273 4.4516 90.00 90.00 90.00
With the nearest neighbours (Å) after each atom.
Fractional positions:
Sc  0.0000  0.0000  0.0000  8 Hg 3.21, 4 Pa 3.27
Pa  0.5000  0.5000  0.0000  8 Hg 3.21, 4 Sc 3.27
Hg  0.0000  0.5000  0.5000  4 Pa 3.21, 4 Sc 3.21, 4 Hg 3.27
Hg  0.5000  0.0000  0.5000  4 Pa 3.21, 4 Sc 3.21, 4 Hg 3.27

***

## Q
ScPaHg2: relaxed, GGA-PBE.

DOS(E_F) ... 1.24 states/eV/atom
SG ... R-3m, No. 166

Lattice parameters (Å, degrees): 10.3312 10.3312 10.3312 18.27 18.27 18.27
With the nearest neighbours (Å) after each atom.
Fractional positions:
Sc  0.0000  0.0000  0.0000  6 Hg 3.01, 6 Sc 3.28
Pa  0.5000  0.5000  0.5000  6 Pa 3.28, 6 Hg 3.33
Hg  0.2565  0.2565  0.2565  3 Sc 3.01, 6 Hg 3.28, 3 Pa 3.33
Hg  0.7435  0.7435  0.7435  3 Sc 3.01, 6 Hg 3.28, 3 Pa 3.33

***

Most stable = Q

***

## P
ScPaHg: relaxed, GGA-PBE.

DOS(E_F) ... 1.56 states/eV/atom
SG ... Cmcm, No. 63

Lattice parameters (Å, degrees): 8.7375 8.7375 5.1055 90.00 90.00 158.92
With the nearest neighbours (Å) after each atom.
Fractional positions:
Sc  0.0922  0.9078  0.7500  6 Hg 3.06-3.07, 2 Sc 3.20
Sc  0.9078  0.0922  0.2500  6 Hg 3.06-3.07, 2 Sc 3.20
Pa  0.2309  0.7691  0.2500  6 Pa 3.08-3.20, 2 Hg 3.33, 2 Sc 3.43
Pa  0.7691  0.2309  0.7500  6 Pa 3.08-3.20, 2 Hg 3.33, 2 Sc 3.43
Hg  0.4393  0.5607  0.7500  6 Sc 3.06-3.07, 4 Hg 3.20-3.30, 2 Pa 3.33
Hg  0.5607  0.4393  0.2500  6 Sc 3.06-3.07, 4 Hg 3.20-3.30, 2 Pa 3.33

***

## Q
ScPaHg: relaxed, GGA-PBE.

DOS(E_F) ... 1.73 states/eV/atom
SG ... I4mm, No. 107

Lattice parameters (Å, degrees): 7.3504 7.3504 7.3504 155.07 155.07 35.54
With the nearest neighbours (Å) after each atom.
Fractional positions:
Sc  0.0000  0.0000  0.0000  4 Hg 3.07, 4 Sc 3.17, 4 Pa 3.29
Pa  0.6721  0.6721  0.0000  4 Pa 3.17, 4 Sc 3.29, 4 Hg 3.36
Hg  0.3506  0.3506  0.0000  4 Sc 3.07, 4 Hg 3.17, 4 Pa 3.36

***

Most stable = P

***

## P
Sc2PaHg: relaxed, GGA-PBE.

DOS(E_F) ... 1.38 states/eV/atom
SG ... P4/mmm, No. 123

Lattice parameters (Å, degrees): 3.3486 3.3486 8.2413 90.00 90.00 90.00
With the nearest neighbours (Å) after each atom.
Fractional positions:
Sc  0.0000  0.0000  0.2355  4 Hg 3.06, 4 Pa 3.22, 4 Sc 3.35
Sc  0.0000  0.0000  0.7645  4 Hg 3.06, 4 Pa 3.22, 4 Sc 3.35
Pa  0.5000  0.5000  0.5000  8 Sc 3.22, 4 Pa 3.35
Hg  0.5000  0.5000  0.0000  8 Sc 3.06, 4 Hg 3.35

***

## Q
Sc2PaHg: relaxed, GGA-PBE.

DOS(E_F) ... 1.74 states/eV/atom
SG ... P4/mmm, No. 123

Lattice parameters (Å, degrees): 4.6746 4.6746 4.2312 90.00 90.00 90.00
With the nearest neighbours (Å) after each atom.
Fractional positions:
Sc  0.0000  0.5000  0.0000  4 Hg 3.15, 4 Pa 3.15, 4 Sc 3.31
Sc  0.5000  0.0000  0.0000  4 Hg 3.15, 4 Pa 3.15, 4 Sc 3.31
Pa  0.0000  0.0000  0.5000  8 Sc 3.15, 4 Hg 3.31
Hg  0.5000  0.5000  0.5000  8 Sc 3.15, 4 Pa 3.31

***

## R
Sc2PaHg: relaxed, GGA-PBE.

DOS(E_F) ... 1.32 states/eV/atom
SG ... R-3m, No. 166

Lattice parameters (Å, degrees): 11.0707 11.0707 11.0707 16.45 16.45 16.45
With the nearest neighbours (Å) after each atom.
Fractional positions:
Sc  0.0922  0.0922  0.0922  1 Pa 3.02, 3 Hg 3.05, 6 Sc 3.17
Sc  0.9078  0.9078  0.9078  1 Pa 3.02, 3 Hg 3.05, 6 Sc 3.17
Pa  0.0000  0.0000  0.0000  2 Sc 3.02, 6 Pa 3.17
Hg  0.5000  0.5000  0.5000  6 Sc 3.05, 6 Hg 3.17

***

Most stable = P